No. 1
The following is a DFT calculation (PBE) of a relaxed HoPuAgRu crystal.

Cell lengths 7.0089, 7.0089, 7.0089 Å; angles 90.00, 90.00, 90.00 degrees
Last column: nearest neighbours and their distance in Å.
Space group F-43m (No. 216)
Inequivalent atoms, fractional coordinates:
Ho 0.0000 0.0000 0.0000 x4  4 Ru 3.03, 4 Ag 3.03
Pu 0.0000 0.0000 0.5000 x4  4 Ru 3.03, 4 Ag 3.03
Ag 0.2500 0.2500 0.2500 x4  4 Ho 3.03, 4 Pu 3.03
Ru 0.2500 0.2500 0.7500 x4  4 Ho 3.03, 4 Pu 3.03

Total magnetization   5.48 μB per formula unit
V   21.520 Å³ per atom
Energy of formation   -0.5 eV/f.u.



No. 2
The following is a DFT calculation (PBE) of a relaxed HoPuAg2S4 crystal.

Cell lengths 5.4122, 5.4122, 12.2191 Å; angles 90.00, 90.00, 90.00 degrees
Last column: nearest neighbours and their distance in Å.
Space group I-4m2 (No. 119)
Inequivalent atoms, fractional coordinates:
Ho 0.0000 0.0000 0.0000 x2  6 S 2.72-2.73
Pu 0.0000 0.5000 0.2500 x2  6 S 2.73-2.81
Ag 0.0000 0.0000 0.5000 x2  4 S 2.72
Ag 0.0000 0.5000 0.7500 x2  4 S 2.73
S 0.0000 0.0000 0.2234 x4  2 Pu 2.73, 2 Ag 2.73, 1 Ho 2.73
S 0.0000 0.5000 0.0202 x4  2 Ho 2.72, 2 Ag 2.72, 1 Pu 2.81

Total magnetization   5.00 μB per formula unit
V   22.370 Å³ per atom
ΔE_f (raw)   -890 kJ/mol of formula units



No. 3
The following is a DFT calculation (PBE) of a relaxed HoPuAgS4 crystal.

Cell lengths 7.8678, 8.0602, 11.1579 Å; angles 90.00, 90.00, 90.00 degrees
Last column: nearest neighbours and their distance in Å.
Space group Imma (No. 74)
Inequivalent atoms, fractional coordinates:
Ho 0.2500 0.2500 0.2500 x4  6 S 2.72-2.74
Pu 0.0000 0.0000 0.0000 x4  6 S 2.68-2.71
Ag 0.0000 0.2500 0.6308 x4  4 S 2.59-2.61
S 0.0000 0.0167 0.2402 x8  1 Ag 2.59, 1 Pu 2.68, 2 Ho 2.72
S 0.2296 0.2500 0.0053 x8  1 Ag 2.61, 2 Pu 2.71, 1 Ho 2.74

Total magnetization   4.00 μB per formula unit
V   25.271 Å³ per atom
ΔE_f (raw)   -910 kJ/mol of formula units



No. 4
The following is a DFT calculation (PBE) of a relaxed HoPuAgSb crystal.

Cell lengths 7.4186, 7.4186, 7.4186 Å; angles 90.00, 90.00, 90.00 degrees
Last column: nearest neighbours and their distance in Å.
Space group F-43m (No. 216)
Inequivalent atoms, fractional coordinates:
Ho 0.0000 0.0000 0.0000 x4  4 Ag 3.21, 4 Sb 3.21
Pu 0.0000 0.0000 0.5000 x4  4 Sb 3.21, 4 Ag 3.21
Ag 0.2500 0.2500 0.2500 x4  4 Pu 3.21, 4 Ho 3.21
Sb 0.2500 0.2500 0.7500 x4  4 Ho 3.21, 4 Pu 3.21

Total magnetization   6.98 μB per formula unit
V   25.518 Å³ per atom
ΔE_f (raw)   -160 kJ/mol of formula units



No. 5
The following is a DFT calculation (PBE) of a relaxed HoPuTcAg crystal.

Cell lengths 7.0054, 7.0054, 7.0054 Å; angles 90.00, 90.00, 90.00 degrees
Last column: nearest neighbours and their distance in Å.
Space group F-43m (No. 216)
Inequivalent atoms, fractional coordinates:
Ho 0.0000 0.0000 0.0000 x4  4 Tc 3.03, 4 Ag 3.03
Pu 0.0000 0.0000 0.5000 x4  4 Tc 3.03, 4 Ag 3.03
Tc 0.2500 0.2500 0.2500 x4  4 Ho 3.03, 4 Pu 3.03
Ag 0.2500 0.2500 0.7500 x4  4 Ho 3.03, 4 Pu 3.03

Total magnetization   4.57 μB per formula unit
V   21.488 Å³ per atom
Energy of formation   0.2 eV/f.u.



No. 6
The following is a DFT calculation (PBE) of a relaxed HoPuZnAg crystal.

Cell lengths 7.2377, 7.2377, 7.2377 Å; angles 90.00, 90.00, 90.00 degrees
Last column: nearest neighbours and their distance in Å.
Space group F-43m (No. 216)
Inequivalent atoms, fractional coordinates:
Ho 0.0000 0.0000 0.0000 x4  4 Ag 3.13, 4 Zn 3.13
Pu 0.0000 0.0000 0.5000 x4  4 Zn 3.13, 4 Ag 3.13
Zn 0.2500 0.2500 0.7500 x4  4 Ho 3.13, 4 Pu 3.13
Ag 0.2500 0.2500 0.2500 x4  4 Ho 3.13, 4 Pu 3.13

Total magnetization   5.93 μB per formula unit
V   23.696 Å³ per atom
Energy of formation   -0.4 eV/f.u.



No. 7
The following is a DFT calculation (PBE) of a relaxed RbHoAgS2 crystal.

Cell lengths 7.6457, 5.0700, 7.6950 Å; angles 90.00, 98.80, 90.00 degrees
Last column: nearest neighbours and their distance in Å.
Space group P2/c (No. 13)
Inequivalent atoms, fractional coordinates:
Rb 0.0000 0.1338 0.2500 x2  6 S 3.45-3.56
Ho 0.5000 0.4945 0.7500 x2  4 S 2.68
Ag 0.5000 0.0000 0.0000 x2  2 S 2.60
S 0.2680 0.3779 0.9659 x4  1 Ag 2.60, 2 Ho 2.68

Total magnetization   0.00 μB per formula unit
V   29.478 Å³ per atom
ΔE_f (raw)   -533 kJ/mol of formula units



No. 8
The following is a DFT calculation (PBE) of a relaxed RbHoAgSe2 crystal.

Cell lengths 7.9674, 4.9635, 8.0605 Å; angles 90.00, 96.26, 90.00 degrees
Last column: nearest neighbours and their distance in Å.
Space group P2/c (No. 13)
Inequivalent atoms, fractional coordinates:
Rb 0.0000 0.0956 0.2500 x2  6 Se 3.54-3.62
Ho 0.5000 0.4962 0.7500 x2  4 Se 2.81
Ag 0.5000 0.0000 0.0000 x2  2 Se 2.74
Se 0.2615 0.4001 0.9750 x4  1 Ag 2.74, 2 Ho 2.81

Total magnetization   0.00 μB per formula unit
V   31.686 Å³ per atom
ΔE_f (raw)   -505 kJ/mol of formula units



No. 9
The following is a DFT calculation (PBE) of a relaxed RbHo2Ag2Se4 crystal.

Cell lengths 15.2318, 3.8847, 8.5510 Å; angles 90.00, 116.33, 90.00 degrees
Last column: nearest neighbours and their distance in Å.
Space group C2/m (No. 12)
Inequivalent atoms, fractional coordinates:
Rb 0.0000 0.0000 0.0000 x2  6 Se 3.24-3.39, 4 Ag 3.50
Ho 0.1261 0.0000 0.5528 x4  7 Se 2.85-3.14
Ag 0.2023 0.5000 0.0514 x4  2 Ag 2.79, 3 Se 2.86-2.92
Se 0.0347 0.5000 0.7074 x4  1 Ag 2.92, 4 Ho 3.01-3.14, 1 Se 3.22
Se 0.2214 0.0000 0.3104 x4  3 Ho 2.85-3.01, 2 Ag 2.86

Total magnetization   0.00 μB per formula unit
V   25.193 Å³ per atom
ΔE_f (raw)   -919 kJ/mol of formula units



No. 10
The following is a DFT calculation (PBE) of a relaxed Rb2HoAg2Se4 crystal.

Cell lengths 15.6789, 4.1872, 8.3163 Å; angles 90.00, 108.66, 90.00 degrees
Last column: nearest neighbours and their distance in Å.
Space group C2/m (No. 12)
Inequivalent atoms, fractional coordinates:
Rb 0.1306 0.0000 0.0641 x4  7 Se 3.54-3.61, 1 Rb 3.89, 2 Ag 3.91
Ho 0.0000 0.0000 0.5000 x2  6 Se 2.89-2.94
Ag 0.1795 0.5000 0.4814 x4  4 Se 2.66-2.78
Se 0.0116 0.5000 0.2683 x4  1 Ag 2.66, 2 Ho 2.89
Se 0.1941 0.0000 0.6889 x4  3 Ag 2.68-2.78, 1 Ho 2.94

Total magnetization   0.00 μB per formula unit
V   28.737 Å³ per atom
ΔE_f (raw)   -876 kJ/mol of formula units



No. 11
The following is a DFT calculation (PBE) of a relaxed RbHo2AgTe4 crystal.

Cell lengths 4.4697, 15.2224, 15.8504 Å; angles 90.00, 90.00, 90.00 degrees
Last column: nearest neighbours and their distance in Å.
Space group Cmcm (No. 63)
Inequivalent atoms, fractional coordinates:
Rb 0.0000 0.1242 0.2500 x4  6 Te 3.52-3.66, 2 Ag 3.94
Ho 0.0000 0.3698 0.0689 x8  6 Te 3.07-3.18
Ag 0.0000 0.1628 0.7500 x4  4 Te 2.77-2.81
Te 0.0000 0.0000 0.0000 x4  4 Ho 3.18
Te 0.0000 0.2638 0.6019 x8  1 Ag 2.81, 2 Ho 3.07
Te 0.0000 0.4453 0.2500 x4  2 Ag 2.77, 2 Ho 3.09

Total magnetization   0.00 μB per formula unit
V   33.702 Å³ per atom
ΔE_f (raw)   -866 kJ/mol of formula units



No. 12
The following is a DFT calculation (PBE) of a relaxed RbHo3Ag2Te6 crystal.

Cell lengths 22.8296, 4.5264, 9.7673 Å; angles 90.00, 114.33, 90.00 degrees
Last column: nearest neighbours and their distance in Å.
Space group C2/m (No. 12)
Inequivalent atoms, fractional coordinates:
Rb 0.0000 0.0000 0.0000 x2  6 Te 3.67-3.86
Ho 0.0000 0.0000 0.5000 x2  6 Te 3.08-3.09
Ho 0.1630 0.5000 0.5243 x4  5 Te 3.01-3.21, 2 Ag 3.21
Ag 0.2373 0.5000 0.2830 x4  3 Te 2.73
Te 0.0226 0.5000 0.3132 x4  3 Ho 3.01-3.08
Te 0.1435 0.0000 0.7199 x4  1 Ag 2.73
Te 0.1741 0.0000 0.3030 x4  2 Ag 2.73

Total magnetization   0.00 μB per formula unit
V   38.320 Å³ per atom
ΔE_f (raw)   -1186 kJ/mol of formula units



No. 13
The following is a DFT calculation (PBE) of a relaxed HoZrReAg crystal.

Cell lengths 6.8495, 6.8495, 6.8495 Å; angles 90.00, 90.00, 90.00 degrees
Last column: nearest neighbours and their distance in Å.
Space group F-43m (No. 216)
Inequivalent atoms, fractional coordinates:
Ho 0.0000 0.0000 0.0000 x4  4 Re 2.97, 4 Ag 2.97
Zr 0.0000 0.0000 0.5000 x4  4 Ag 2.97, 4 Re 2.97
Re 0.2500 0.2500 0.7500 x4  4 Zr 2.97, 4 Ho 2.97
Ag 0.2500 0.2500 0.2500 x4  4 Ho 2.97, 4 Zr 2.97

Total magnetization   0.00 μB per formula unit
V   20.084 Å³ per atom
Energy of formation   -0.3 eV/f.u.